[1]
This record from the Alexandria database describes a PBEsol-optimized structure of MnV4CrO12. The functional is meta-GGA SCAN.

a b c (Å): 5.7246 6.6356 6.6356
angles (deg): 84.05 74.88 74.88
With the nearest neighbours (Å) after each atom.
Element x y z (fractional)
Mn 0.5000 0.0842 0.9158  6 O 1.97-2.18
V 0.9948 0.3931 0.2052  4 O 1.69-1.77
V 0.5013 0.2035 0.3893  4 O 1.68-1.76
V 0.0052 0.7948 0.6069  4 O 1.69-1.77
V 0.4987 0.6107 0.7965  4 O 1.68-1.76
Cr 0.0000 0.9178 0.0822  6 O 1.92-2.01
O 0.0974 0.1908 0.0342  1 V 1.73
O 0.9729 0.6340 0.0899  1 V 1.69
O 0.6309 0.0326 0.1855  1 V 1.74
O 0.1990 0.3413 0.3734  2 V 1.76-1.77
O 0.0271 0.9101 0.3660  1 V 1.69
O 0.6962 0.3776 0.3510  2 V 1.75-1.76
O 0.8010 0.6266 0.6587  2 V 1.76-1.77
O 0.4943 0.0749 0.6214  1 V 1.68
O 0.3038 0.6490 0.6224  2 V 1.75-1.76
O 0.9026 0.9658 0.8092  1 V 1.73
O 0.5057 0.3786 0.9251  1 V 1.68
O 0.3691 0.8145 0.9674  1 V 1.74

Values from the calculation:
The value obtained for the density is 3.56 Mg/m³. As for the crystal system: monoclinic. Its raw formation energy is -45.0 eV per formula unit.

[2]
This record from the Alexandria database describes a PBEsol-optimized structure of Ca2ZnMoCl. The functional is meta-GGA SCAN.

a b c (Å): 4.3945 5.1740 5.1740
angles (deg): 90.00 90.00 90.00
With the nearest neighbours (Å) after each atom.
Element x y z (fractional)
Mo 0.5000 0.0000 0.0000  2 Cl 2.20
Ca 0.0000 0.0000 0.5000  2 Cl 2.59
Ca 0.0000 0.5000 0.0000  2 Cl 2.59
Zn 0.5000 0.5000 0.5000  8 Ca 3.39, 4 Mo 3.66
Cl 0.0000 0.0000 0.0000  2 Mo 2.20

Values from the calculation:
The value obtained for the density is 3.91 Mg/m³. As for the crystal system: tetragonal. Its raw formation energy is 0.6 eV per formula unit.

> Which value of density does entry 2 give?

3.91 Mg/m³

> The highest density belongs to which entry?

Ca2ZnMoCl